# 1
# Ce2SmAs3 | Alexandria | PBE | relaxed
# D(E_F)	1.8634	states/eV per atom
# energy of formation	-1.46	eV per atom
data_Ce2SmAs3
_space_group_name_H-M_alt 'I m m m'
_space_group_IT_number 71
_space_group_name_Hall '-I 2 2'
_cell_length_a 4.217
_cell_length_b 5.962
_cell_length_c 12.649
_cell_angle_alpha 90.00
_cell_angle_beta 90.00
_cell_angle_gamma 90.00
loop_
_atom_site_label
_atom_site_fract_x
_atom_site_fract_y
_atom_site_fract_z
Ce1 0.000 0.000 0.166
Sm1 0.000 0.000 0.500
As1 0.000 0.500 0.168
As2 0.000 0.500 0.500

---

# 2
# CeSmAs2 | Alexandria | PBE | relaxed
# D(E_F)	1.4052	states/eV per atom
# energy of formation	-1.48	eV per atom
data_CeSmAs2
_space_group_name_H-M_alt 'R -3 m'
_space_group_IT_number 166
_space_group_name_Hall '-R 3 2"'
_cell_length_a 4.2151
_cell_length_b 4.2151
_cell_length_c 20.6391
_cell_angle_alpha 90.00
_cell_angle_beta 90.00
_cell_angle_gamma 120.00
loop_
_atom_site_label
_atom_site_fract_x
_atom_site_fract_y
_atom_site_fract_z
Ce1 0.0000 0.0000 0.0000
Sm1 0.0000 0.0000 0.5000
As1 0.0000 0.0000 0.2508

---

# 3
# CeSm5As6 | Alexandria | PBE | relaxed
# D(E_F)	0.4741	states/eV per atom
# energy of formation	-1.52	eV per atom
data_CeSm5As6
_space_group_name_H-M_alt 'C 1 2/m 1'
_space_group_IT_number 12
_space_group_name_Hall '-C 2y'
_cell_length_a 7.294
_cell_length_b 12.636
_cell_length_c 7.298
_cell_angle_alpha 90.00
_cell_angle_beta 109.46
_cell_angle_gamma 90.00
loop_
_atom_site_label
_atom_site_fract_x
_atom_site_fract_y
_atom_site_fract_z
Ce1 0.000 0.000 0.000
Sm1 0.000 0.167 0.500
Sm2 0.000 0.333 0.000
Sm3 0.000 0.500 0.500
As1 0.248 0.000 0.752
As2 0.248 0.165 0.249

---

# 4
# Ce2Sm2As5 | Alexandria | PBE | relaxed
# D(E_F)	0.8180	states/eV per atom
# energy of formation	-1.22	eV per atom
data_Ce2Sm2As5
_space_group_name_H-M_alt 'C m c e'
_space_group_IT_number 64
_space_group_name_Hall '-C 2ac 2'
_cell_length_a 14.554
_cell_length_b 7.828
_cell_length_c 7.875
_cell_angle_alpha 90.00
_cell_angle_beta 90.00
_cell_angle_gamma 90.00
loop_
_atom_site_label
_atom_site_fract_x
_atom_site_fract_y
_atom_site_fract_z
Ce1 0.195 0.000 0.000
Sm1 0.000 0.156 0.341
As1 0.000 0.000 0.000
As2 0.141 0.155 0.652